(1)
Material: FeNi2Mo
Method: DFT, PBEsol
State: optimized geometry

Summary:
Its total moment is 1.357 μB per formula unit. For the formation energy, the calculation gives -32 meV/atom. Its uncorrected energy is -8.29 eV/atom.

a b c (Å): 3.4928 3.4928 4.4885
angles (deg): 112.90 112.90 90.00
Each line ends with the local moment (μB).
Fractional coordinates of all 4 atoms:
Ni1 0.7500 0.2500 0.5000  0.11
Ni2 0.2500 0.7500 0.5000  0.11
Mo1 0.0000 0.0000 0.0000  -0.27
Fe1 0.5000 0.5000 0.0000  1.41

---

(2)
Material: FeNiMo3
Method: DFT, PBEsol
State: optimized geometry

Summary:
Its total moment is 0.002 μB per formula unit. For the formation energy, the calculation gives 1320 meV/atom. Its uncorrected energy is -8.76 eV/atom.

a b c (Å): 4.3341 4.3341 4.3341
angles (deg): 90.00 90.00 90.00
Fractional coordinates of all 5 atoms:
Ni1 0.5000 0.5000 0.5000
Mo1 0.0000 0.5000 0.0000
Mo2 0.0000 0.0000 0.5000
Mo3 0.5000 0.0000 0.0000
Fe1 0.0000 0.0000 0.0000

---

(3)
Material: FeNi2Mo
Method: DFT, PBEsol
State: optimized geometry

Summary:
Its total moment is 3.052 μB per formula unit. For the formation energy, the calculation gives 28 meV/atom. Its uncorrected energy is -8.23 eV/atom.

a b c (Å): 2.5451 2.5451 7.2407
angles (deg): 90.00 90.00 90.00
Each line ends with the local moment (μB).
Fractional coordinates of all 4 atoms:
Ni1 0.0000 0.0000 0.0160  0.20
Ni2 0.5000 0.5000 0.2505  0.57
Mo1 0.5000 0.5000 0.7565  0.00
Fe1 0.0000 0.0000 0.4772  2.31

---

(4)
Material: Fe4NiMo
Method: DFT, PBEsol
State: optimized geometry

Summary:
Its total moment is 5.876 μB per formula unit. For the formation energy, the calculation gives 18 meV/atom. Its uncorrected energy is -8.95 eV/atom.

a b c (Å): 4.5782 4.5782 4.5782
angles (deg): 60.00 60.00 60.00
Each line ends with the local moment (μB).
Fractional coordinates of all 6 atoms:
Fe1 0.3740 0.3740 0.3740  1.54
Fe2 0.3740 0.3740 0.8780  1.54
Fe3 0.8780 0.3740 0.3740  1.54
Fe4 0.3740 0.8780 0.3740  1.54
Mo1 0.7500 0.7500 0.7500  -0.66
Ni1 0.0000 0.0000 0.0000  0.42

---

(5)
Material: FeNi2Mo
Method: DFT, PBEsol
State: optimized geometry

Summary:
Its total moment is 2.543 μB per formula unit. For the formation energy, the calculation gives 10 meV/atom. Its uncorrected energy is -8.25 eV/atom.

a b c (Å): 2.5353 3.6720 5.0138
angles (deg): 90.00 90.00 90.00
Each line ends with the local moment (μB).
Fractional coordinates of all 4 atoms:
Ni1 0.0000 0.0000 0.7588  0.24
Ni2 0.0000 0.0000 0.2412  0.24
Mo1 0.5000 0.5000 0.5000  -0.12
Fe1 0.5000 0.5000 0.0000  2.22

---

(6)
Material: Fe2NiMo
Method: DFT, PBEsol
State: optimized geometry

Summary:
Its total moment is 1.656 μB per formula unit. For the formation energy, the calculation gives -4 meV/atom. Its uncorrected energy is -8.97 eV/atom.

a b c (Å): 3.5062 3.5968 3.5968
angles (deg): 90.00 90.00 90.00
Each line ends with the local moment (μB).
Fractional coordinates of all 4 atoms:
Ni1 0.5000 0.0000 0.0000  0.03
Mo1 0.5000 0.5000 0.5000  -0.47
Fe1 0.0000 0.0000 0.5000  1.05
Fe2 0.0000 0.5000 0.0000  1.05

---

(7)
Material: Fe2NiMo
Method: DFT, PBEsol
State: optimized geometry

Summary:
Its total moment is 2.628 μB per formula unit. For the formation energy, the calculation gives 12 meV/atom. Its uncorrected energy is -8.95 eV/atom.

a b c (Å): 3.5979 3.5979 4.3709
angles (deg): 114.30 114.30 90.00
Each line ends with the local moment (μB).
Fractional coordinates of all 4 atoms:
Ni1 0.7500 0.2500 0.5000  0.09
Mo1 0.5000 0.5000 0.0000  -0.40
Fe1 0.0000 0.0000 0.0000  1.83
Fe2 0.2500 0.7500 0.5000  1.12

---

(8)
Material: Fe2NiMo
Method: DFT, PBEsol
State: optimized geometry

Summary:
Its total moment is 4.905 μB per formula unit. For the formation energy, the calculation gives 93 meV/atom. Its uncorrected energy is -8.87 eV/atom.

a b c (Å): 2.5165 2.5165 7.5431
angles (deg): 90.00 90.00 90.00
Each line ends with the local moment (μB).
Fractional coordinates of all 4 atoms:
Fe1 0.0000 0.0000 0.9923  2.40
Fe2 0.5000 0.5000 0.2349  2.27
Mo1 0.0000 0.0000 0.5074  -0.07
Ni1 0.5000 0.5000 0.7654  0.34